Entry 1:
{"formula": "Li2ZrPb", "functional": "PBEsol", "state": "optimized geometry", "lattice_angstrom": [[3.161, 0.000, 0.000], [0.000, 3.161, 0.000], [0.000, 0.000, 7.871]], "species": ["Pb", "Li", "Li", "Zr"], "frac_coords": [[0.500, 0.500, 0.000], [0.000, 0.000, 0.773], [0.000, 0.000, 0.227], [0.500, 0.500, 0.500]], "dos_ef_per_ev_cell": 3.2, "dft_energy_ev_per_atom": -4.160, "vol_a3_per_cell": 78.65}

=====

Entry 2:
{"formula": "ZnTcAs4", "functional": "PBEsol", "state": "optimized geometry", "lattice_angstrom": [[-0.774, 5.266, 0.279], [-0.932, 2.311, 4.712], [3.706, 3.125, 2.216]], "species": ["As", "As", "As", "As", "Zn", "Tc"], "frac_coords": [[0.375, 0.375, 0.876], [0.876, 0.375, 0.375], [0.375, 0.375, 0.375], [0.375, 0.876, 0.375], [0.000, 0.000, 0.000], [0.750, 0.750, 0.750]], "dos_ef_per_ev_cell": 4.9, "dft_energy_ev_per_atom": -4.729, "vol_a3_per_cell": 107.08}

=====

Entry 3:
{"formula": "CsTi2Tc2", "functional": "PBEsol", "state": "optimized geometry", "lattice_angstrom": [[4.027, 0.000, 0.000], [0.000, 4.027, 0.000], [-2.013, -2.013, 7.395]], "species": ["Tc", "Tc", "Cs", "Ti", "Ti"], "frac_coords": [[0.750, 0.250, 0.500], [0.250, 0.750, 0.500], [0.000, 0.000, 0.000], [0.346, 0.346, 0.691], [0.654, 0.654, 0.309]], "dos_ef_per_ev_cell": 6.5, "dft_energy_ev_per_atom": -7.315, "vol_a3_per_cell": 119.90}